A relaxed structure of ScTeC3. Source: Alexandria via LeMat-Bulk, functional PBE.

Properties
- ΔE_f (raw) (meV per atom) = 2168.2
- symmetry = Pm-3m
- raw total energy (eV per cell) = -26.3
- energy above the lowest structure with this stoichiometry (kJ/mol of atoms) = 0.0

abc: 4.1505 4.1505 4.1505
angles: 90.00 90.00 90.00
Fractional coordinates of all 5 atoms:
Sc: 0.0000 0.0000 0.0000
Te: 0.5000 0.5000 0.5000
C: 0.0000 0.5000 0.5000
C: 0.5000 0.0000 0.5000
C: 0.5000 0.5000 0.0000